1.
The following is a PBE calculation of crystalline Ac2Nd7Y2 at its relaxed geometry, from Alexandria.

The structure belongs to space group C2/m (No. 12); the cell edges are 9.648, 9.676 and 9.590 Å and the angles 90.00°, 109.59° and 90.00°. The distinct sites, in fractional coordinates, are Ac at (0.129, 0.000, 0.404), Nd at (0.000, 0.500, 0.500), Nd at (0.132, 0.305, 0.768), Nd at (0.173, 0.500, 0.130) and Y at (0.000, 0.161, 0.000).

For the excess energy over the best structure of this formula in the dataset, the calculation gives 2.23 eV per formula unit. The magnetization is 0.000 μB/atom. Its electronic total energy is -102.15 eV for the cell shown.

2.
The following is a PBE calculation of crystalline AcNd6Y2 at its relaxed geometry, from Alexandria.

The structure belongs to space group C2/m (No. 12); the cell edges are 17.865, 10.605 and 3.531 Å and the angles 90.00°, 100.83° and 90.00°. The distinct sites, in fractional coordinates, are Ac at (0.000, 0.000, 0.000), Nd at (0.000, 0.317, 0.500), Nd at (0.168, 0.196, 0.168) and Y at (0.169, 0.500, 0.668).

For the excess energy over the best structure of this formula in the dataset, the calculation gives 1.10 eV per formula unit. The magnetization is 0.000 μB/atom. Its electronic total energy is -87.95 eV for the cell shown.

3.
The following is a PBE calculation of crystalline Ac3Nd2Y6 at its relaxed geometry, from Alexandria.

The structure belongs to space group C2/m (No. 12); the cell edges are 6.423, 11.138 and 11.838 Å and the angles 90.00°, 100.46° and 90.00°. The distinct sites, in fractional coordinates, are Ac at (0.000, 0.000, 0.000), Ac at (0.000, 0.335, 0.000), Nd at (0.000, 0.166, 0.500), Y at (0.246, 0.334, 0.742) and Y at (0.250, 0.000, 0.743).

The magnetization is 0.000 μB/atom. Its electronic total energy is -116.51 eV for the cell shown.

4.
The following is a PBE calculation of crystalline AcNd7Y12 at its relaxed geometry, from Alexandria.

The structure belongs to space group Im-3m (No. 229); the cell edges are 11.425, 11.425 and 11.425 Å and the angles 90.00°, 90.00° and 90.00°. The distinct sites, in fractional coordinates, are Ac at (0.000, 0.000, 0.000), Nd at (0.000, 0.000, 0.500), Nd at (0.250, 0.250, 0.250) and Y at (0.000, 0.254, 0.254).

For the excess energy over the best structure of this formula in the dataset, the calculation gives 7.33 eV per formula unit. The magnetization is 0.000 μB/atom. Its electronic total energy is -206.35 eV for the cell shown.

Number 1: calculated formation energy 0.313 eV per atom. Number 2: calculated formation energy 0.185 eV per atom. Number 3: calculated formation energy 0.217 eV per atom. Number 4: calculated formation energy 0.594 eV per atom.